## NaGe2Pt (PBE)

Data for a relaxed NaGe2Pt crystal.

abc: 5.928 5.928 5.928
angles: 41.76 41.76 41.76
Atoms (fractional coordinates):
Na: 0.000 0.000 0.000
Ge: 0.560 0.560 0.560
Ge: 0.788 0.788 0.788
Pt: 0.183 0.183 0.183

**ρ**: 7222 kg/m³
**Magnetic moment**: 0.00 μB per formula unit
**Calculated formation energy**: -341 meV/atom